# 1
UTa4 | GGA-PBE | relaxed

Values from the calculation:
Its formation energy is 1.7145 eV per atom. The volume comes out at 113.5 Å³/f.u. As for the energy: -10.0252 eV per atom.

Cell and atoms, written as CIF:
```
data_UTa4
_cell_length_a 4.8423
_cell_length_b 4.8423
_cell_length_c 4.8423
_cell_angle_alpha 90.00
_cell_angle_beta 90.00
_cell_angle_gamma 90.00
_space_group_name_H-M_alt 'P m -3 m'
_space_group_IT_number 221
_space_group_name_Hall '-P 4 2 3'
loop_
_atom_site_label
_atom_site_type_symbol
_atom_site_fract_x
_atom_site_fract_y
_atom_site_fract_z
U1 U 0.0000 0.0000 0.0000
Ta1 Ta 0.0000 0.0000 0.5000
Ta2 Ta 0.5000 0.5000 0.5000
```

# 2
PmHo6Al2 | GGA-PBE | relaxed

Values from the calculation:
Its formation energy is 0.5011 eV per atom. Its offset from the most stable computed form is 0.664 eV/atom. The volume comes out at 312.9 Å³/f.u. As for the energy: -3.9103 eV per atom.

Cell and atoms, written as CIF:
```
data_PmHo6Al2
_cell_length_a 4.7644
_cell_length_b 4.7644
_cell_length_c 27.5662
_cell_angle_alpha 90.00
_cell_angle_beta 90.00
_cell_angle_gamma 90.00
_space_group_name_H-M_alt 'I -4 2 m'
_space_group_IT_number 121
_space_group_name_Hall 'I -4 2'
loop_
_atom_site_label
_atom_site_type_symbol
_atom_site_fract_x
_atom_site_fract_y
_atom_site_fract_z
Pm1 Pm 0.0000 0.0000 0.0000
Ho1 Ho 0.0000 0.5000 0.2500
Ho2 Ho 0.2481 0.2481 0.1038
Al1 Al 0.0000 0.0000 0.3140
```

energy of number 1 (UTa4)?
-10.0252 eV per atom

Among the records above, which one has the highest volume?
PmHo6Al2